Entry from Alexandria via LeMat-Bulk: an optimized crystal structure of ZnCd2Ru2 (PBE-GGA).

For the density of states at the Fermi level, the calculation gives 1.03 states/eV per atom. The space group is I4/mmm (139). The value obtained for the calculated density is 8.569 g/cm3. For the final energy, the calculation gives -37.77 eV for the cell shown. The crystal system is tetragonal. The value obtained for the energy relative to the lowest polymorph listed for this composition is 309 meV per atom.

Structure (POSCAR):
```
ZnCd2Ru2
1.0
3.550 0.000 0.000
0.000 3.550 0.000
0.000 0.000 15.143
Zn Cd Ru
2 4 4
Direct
0.000 0.000 0.000
0.500 0.500 0.500
0.000 0.000 0.401
0.000 0.000 0.599
0.500 0.500 0.099
0.500 0.500 0.901
0.000 0.500 0.250
0.000 0.500 0.750
0.500 0.000 0.250
0.500 0.000 0.750
```

***

Entry from Alexandria via LeMat-Bulk: an optimized crystal structure of Zn2CdRu (PBE-GGA).

For the density of states at the Fermi level, the calculation gives 0.60 states/eV per atom. The space group is I-42d (122). The value obtained for the calculated density is 8.054 g/cm3. For the final energy, the calculation gives -45.52 eV for the cell shown. The crystal system is tetragonal.

Structure (POSCAR):
```
Zn2CdRu
1.0
3.943 0.000 0.000
0.000 3.943 0.000
0.000 0.000 18.265
Zn Cd Ru
8 4 4
Direct
0.205 0.250 0.125
0.250 0.705 0.375
0.250 0.795 0.875
0.295 0.250 0.625
0.705 0.750 0.625
0.750 0.205 0.875
0.750 0.295 0.375
0.795 0.750 0.125
0.000 0.000 0.500
0.000 0.500 0.750
0.500 0.000 0.250
0.500 0.500 0.000
0.000 0.000 0.000
0.000 0.500 0.250
0.500 0.000 0.750
0.500 0.500 0.500
```

***

Entry from Alexandria via LeMat-Bulk: an optimized crystal structure of Zn2CdRu (PBE-GGA).

For the density of states at the Fermi level, the calculation gives 0.51 states/eV per atom. The space group is I4/mmm (139). The value obtained for the calculated density is 9.247 g/cm3. For the final energy, the calculation gives -24.81 eV for the cell shown. The crystal system is tetragonal.

Structure (POSCAR):
```
Zn2CdRu
1.0
4.156 0.000 0.000
0.000 4.156 0.000
0.000 0.000 7.160
Zn Cd Ru
4 2 2
Direct
0.000 0.500 0.250
0.000 0.500 0.750
0.500 0.000 0.250
0.500 0.000 0.750
0.000 0.000 0.000
0.500 0.500 0.500
0.000 0.000 0.500
0.500 0.500 0.000
```

***

Entry from Alexandria via LeMat-Bulk: an optimized crystal structure of Zn2CdRu (PBE-GGA).

For the density of states at the Fermi level, the calculation gives 0.51 states/eV per atom. The space group is R-3m (166). The value obtained for the calculated density is 8.675 g/cm3. For the final energy, the calculation gives -36.81 eV for the cell shown. The crystal system is trigonal.

Structure (POSCAR):
```
Zn2CdRu
1.0
2.832 0.000 0.000
-1.416 2.453 0.000
0.000 0.000 28.463
Zn Cd Ru
6 3 3
Direct
0.000 0.000 0.240
0.000 0.000 0.760
0.333 0.667 0.427
0.333 0.667 0.906
0.667 0.333 0.094
0.667 0.333 0.573
0.000 0.000 0.000
0.333 0.667 0.667
0.667 0.333 0.333
0.000 0.000 0.500
0.333 0.667 0.167
0.667 0.333 0.833
```

***

Entry from Alexandria via LeMat-Bulk: an optimized crystal structure of Zn2CdRu (PBE-GGA).

For the density of states at the Fermi level, the calculation gives 0.57 states/eV per atom. The space group is Cmm2 (35). The value obtained for the calculated density is 8.754 g/cm3. For the final energy, the calculation gives -23.73 eV for the cell shown. The crystal system is orthorhombic.

Structure (POSCAR):
```
Zn2CdRu
1.0
2.940 0.000 0.000
0.000 4.823 0.000
0.000 0.000 9.213
Zn Cd Ru
4 2 2
Direct
0.000 0.000 0.000
0.000 0.500 0.240
0.500 0.000 0.240
0.500 0.500 0.000
0.000 0.000 0.512
0.500 0.500 0.512
0.000 0.500 0.773
0.500 0.000 0.773
```

***

Entry from Alexandria via LeMat-Bulk: an optimized crystal structure of ZnCd3Ru (PBE-GGA).

For the density of states at the Fermi level, the calculation gives 1.18 states/eV per atom. The space group is Pm-3m (221). The value obtained for the calculated density is 5.940 g/cm3. For the final energy, the calculation gives -9.84 eV for the cell shown. The crystal system is cubic. The value obtained for the energy relative to the lowest polymorph listed for this composition is 0 meV per atom.

Structure (POSCAR):
```
ZnCd3Ru
1.0
5.203 0.000 0.000
0.000 5.203 0.000
0.000 0.000 5.203
Zn Cd Ru
1 3 1
Direct
0.000 0.000 0.000
0.000 0.500 0.500
0.500 0.000 0.500
0.500 0.500 0.000
0.500 0.500 0.500
```

***

Entry from Alexandria via LeMat-Bulk: an optimized crystal structure of Zn2CdRu (PBE-GGA).

For the density of states at the Fermi level, the calculation gives 0.77 states/eV per atom. The space group is P4mm (99). The value obtained for the calculated density is 8.880 g/cm3. For the final energy, the calculation gives -12.20 eV for the cell shown. The crystal system is tetragonal.

Structure (POSCAR):
```
Zn2CdRu
1.0
3.251 0.000 0.000
0.000 3.251 0.000
0.000 0.000 6.090
Zn Cd Ru
2 1 1
Direct
0.000 0.000 0.000
0.500 0.500 0.238
0.000 0.000 0.526
0.500 0.500 0.805
```

***

Entry from Alexandria via LeMat-Bulk: an optimized crystal structure of ZnCd3Ru (PBE-GGA).

For the density of states at the Fermi level, the calculation gives 0.47 states/eV per atom. The space group is Pm-3m (221). The value obtained for the calculated density is 7.164 g/cm3. For the final energy, the calculation gives -8.45 eV for the cell shown. The crystal system is cubic. The value obtained for the energy relative to the lowest polymorph listed for this composition is 278 meV per atom.

Structure (POSCAR):
```
ZnCd3Ru
1.0
4.887 0.000 0.000
0.000 4.887 0.000
0.000 0.000 4.887
Zn Cd Ru
1 3 1
Direct
0.000 0.000 0.000
0.000 0.000 0.500
0.000 0.500 0.000
0.500 0.000 0.000
0.500 0.500 0.500
```

***

Entry from Alexandria via LeMat-Bulk: an optimized crystal structure of Zn2CdRu (PBE-GGA).

For the density of states at the Fermi level, the calculation gives 0.47 states/eV per atom. The space group is P4/mmm (123). The value obtained for the calculated density is 9.266 g/cm3. For the final energy, the calculation gives -12.68 eV for the cell shown. The crystal system is tetragonal.

Structure (POSCAR):
```
Zn2CdRu
1.0
4.032 0.000 0.000
0.000 4.032 0.000
0.000 0.000 3.796
Zn Cd Ru
2 1 1
Direct
0.000 0.500 0.000
0.500 0.000 0.000
0.000 0.000 0.500
0.500 0.500 0.500
```

***

Entry from Alexandria via LeMat-Bulk: an optimized crystal structure of Zn2CdRu (PBE-GGA).

For the density of states at the Fermi level, the calculation gives 0.62 states/eV per atom. The space group is P4/mmm (123). The value obtained for the calculated density is 8.986 g/cm3. For the final energy, the calculation gives -12.52 eV for the cell shown. The crystal system is tetragonal.

Structure (POSCAR):
```
Zn2CdRu
1.0
3.256 0.000 0.000
0.000 3.256 0.000
0.000 0.000 6.000
Zn Cd Ru
2 1 1
Direct
0.000 0.000 0.213
0.000 0.000 0.787
0.500 0.500 0.500
0.500 0.500 0.000
```

***

Entry from Alexandria via LeMat-Bulk: an optimized crystal structure of Zn2CdRu (PBE-GGA).

For the density of states at the Fermi level, the calculation gives 0.55 states/eV per atom. The space group is Pm (6). The value obtained for the calculated density is 9.086 g/cm3. For the final energy, the calculation gives -12.32 eV for the cell shown. The crystal system is monoclinic.

Structure (POSCAR):
```
Zn2CdRu
1.0
2.840 0.000 0.000
0.000 4.221 0.000
-1.411 0.000 5.249
Zn Cd Ru
2 1 1
Direct
0.000 0.000 0.000
0.139 0.500 0.273
0.755 0.000 0.507
0.408 0.500 0.815
```

***

Entry from Alexandria via LeMat-Bulk: an optimized crystal structure of Zn2CdRu (PBE-GGA).

For the density of states at the Fermi level, the calculation gives 0.57 states/eV per atom. The space group is C2/m (12). The value obtained for the calculated density is 8.846 g/cm3. For the final energy, the calculation gives -24.66 eV for the cell shown. The crystal system is monoclinic.

Structure (POSCAR):
```
Zn2CdRu
1.0
8.990 0.000 0.000
0.000 2.907 0.000
-0.942 0.000 4.946
Zn Cd Ru
4 2 2
Direct
0.239 0.000 0.215
0.261 0.500 0.785
0.739 0.500 0.215
0.761 0.000 0.785
0.000 0.000 0.500
0.500 0.500 0.500
0.000 0.500 0.000
0.500 0.000 0.000
```

***

Entry from Alexandria via LeMat-Bulk: an optimized crystal structure of Zn2CdRu (PBE-GGA).

For the density of states at the Fermi level, the calculation gives 0.57 states/eV per atom. The space group is I-4m2 (119). The value obtained for the calculated density is 9.118 g/cm3. For the final energy, the calculation gives -24.82 eV for the cell shown. The crystal system is tetragonal.

Structure (POSCAR):
```
Zn2CdRu
1.0
3.810 0.000 0.000
0.000 3.810 0.000
0.000 0.000 8.641
Zn Cd Ru
4 2 2
Direct
0.000 0.000 0.000
0.000 0.500 0.250
0.500 0.000 0.750
0.500 0.500 0.500
0.000 0.500 0.750
0.500 0.000 0.250
0.000 0.000 0.500
0.500 0.500 0.000
```

***

Entry from Alexandria via LeMat-Bulk: an optimized crystal structure of ZnCd2Ru2 (PBE-GGA).

For the density of states at the Fermi level, the calculation gives 0.78 states/eV per atom. The space group is P4/mbm (127). The value obtained for the calculated density is 9.176 g/cm3. For the final energy, the calculation gives -40.87 eV for the cell shown. The crystal system is tetragonal. The value obtained for the energy relative to the lowest polymorph listed for this composition is 0 meV per atom.

Structure (POSCAR):
```
ZnCd2Ru2
1.0
6.385 0.000 0.000
0.000 6.385 0.000
0.000 0.000 4.371
Zn Cd Ru
2 4 4
Direct
0.000 0.000 0.000
0.500 0.500 0.000
0.174 0.326 0.500
0.326 0.826 0.500
0.674 0.174 0.500
0.826 0.674 0.500
0.131 0.631 0.000
0.369 0.131 0.000
0.631 0.869 0.000
0.869 0.369 0.000
```